[1]
Here is a relaxed structure of HoTm2Ru3 from Alexandria. Energies are from PBE-GGA.

Output
* energy relative to the elements: -2.37 eV/f.u.
* ΔE to the lowest computed polymorph: 0.019 eV/f.u.
* crystal system: orthorhombic

```
data_HoTm2Ru3
_chemical_formula_sum 'Ho2 Tm4 Ru6'
_cell_length_a 4.750
_cell_length_b 14.257
_cell_length_c 3.375
_cell_angle_alpha 90.00
_cell_angle_beta 90.00
_cell_angle_gamma 90.00
_space_group_name_H-M_alt 'C m m m'
_space_group_IT_number 65
_space_group_name_Hall '-C 2 2'
loop_
_atom_site_label
_atom_site_type_symbol
_atom_site_fract_x
_atom_site_fract_y
_atom_site_fract_z
_atom_site_occupancy
Ho1 Ho 0.000 0.000 0.000 1
Tm1 Tm 0.000 0.333 0.000 1
Ru1 Ru 0.000 0.168 0.500 1
Ru2 Ru 0.000 0.500 0.500 1
```

***

[2]
Here is a relaxed structure of Fe2Pd6Pt from Alexandria. Energies are from PBE-GGA.

Output
* energy relative to the elements: -0.47 eV/f.u.
* ΔE to the lowest computed polymorph: 0.000 eV/f.u.
* crystal system: monoclinic

```
data_Fe2Pd6Pt
_chemical_formula_sum 'Fe4 Pd12 Pt2'
_cell_length_a 5.259
_cell_length_b 7.624
_cell_length_c 6.815
_cell_angle_alpha 90.00
_cell_angle_beta 97.38
_cell_angle_gamma 90.00
_space_group_name_H-M_alt 'P 1 21/c 1'
_space_group_IT_number 14
loop_
_space_group_symop_operation_xyz
'x,y,z'
'-x,-y,-z'
'-x,y+1/2,-z+1/2'
'x,-y+1/2,z+1/2'
loop_
_atom_site_label
_atom_site_type_symbol
_atom_site_fract_x
_atom_site_fract_y
_atom_site_fract_z
_atom_site_occupancy
Fe1 Fe 0.160 0.165 0.165 1
Pd1 Pd 0.158 0.665 0.668 1
Pd2 Pd 0.328 0.501 0.336 1
Pd3 Pd 0.472 0.171 0.491 1
Pt1 Pt 0.000 0.000 0.500 1
```

***

[3]
Here is a relaxed structure of YTh5Pt6 from Alexandria. Energies are from PBE-GGA.

Output
* energy relative to the elements: -14.40 eV/f.u.
* crystal system: monoclinic

```
data_YTh5Pt6
_chemical_formula_sum 'Y2 Th10 Pt12'
_cell_length_a 7.194
_cell_length_b 12.360
_cell_length_c 7.352
_cell_angle_alpha 90.00
_cell_angle_beta 108.61
_cell_angle_gamma 90.00
_space_group_name_H-M_alt 'C 1 2/m 1'
_space_group_IT_number 12
loop_
_space_group_symop_operation_xyz
'x,y,z'
'-x,-y,-z'
'-x,y,-z'
'x,-y,z'
'x+1/2,y+1/2,z'
'-x+1/2,-y+1/2,-z'
'-x+1/2,y+1/2,-z'
'x+1/2,-y+1/2,z'
loop_
_atom_site_label
_atom_site_type_symbol
_atom_site_fract_x
_atom_site_fract_y
_atom_site_fract_z
_atom_site_occupancy
Y1 Y 0.000 0.000 0.000 1
Th1 Th 0.000 0.168 0.500 1
Th2 Th 0.000 0.333 0.000 1
Th3 Th 0.000 0.500 0.500 1
Pt1 Pt 0.249 0.333 0.749 1
Pt2 Pt 0.250 0.000 0.749 1
```

***

[4]
Here is a relaxed structure of SiP2Se from Alexandria. Energies are from PBE-GGA.

Output
* ΔE to the lowest computed polymorph: 2.352 eV/f.u.
* ΔE_f (raw): 535 meV/atom
* crystal system: orthorhombic

```
data_SiP2Se
_chemical_formula_sum 'Si2 P4 Se2'
_cell_length_a 3.264
_cell_length_b 4.218
_cell_length_c 10.224
_cell_angle_alpha 90.00
_cell_angle_beta 90.00
_cell_angle_gamma 90.00
_space_group_name_H-M_alt 'C m m m'
_space_group_IT_number 65
_space_group_name_Hall '-C 2 2'
loop_
_atom_site_label
_atom_site_type_symbol
_atom_site_fract_x
_atom_site_fract_y
_atom_site_fract_z
_atom_site_occupancy
Si1 Si 0.000 0.000 0.000 1
P1 P 0.000 0.500 0.187 1
Se1 Se 0.000 0.000 0.500 1
```

***

no.,volume (Å³ per cell)
1,228.5
2,271.0
3,619.6
4,140.8